A relaxed structure of AlFe2Ag, computed with PBE.

Cell lengths 6.895, 6.895, 5.125 Å; angles 90.00, 90.00, 90.00 degrees
Atoms (fractional coordinates):
1 Al 0.000 0.000 0.000
2 Al 0.000 0.500 0.250
3 Al 0.500 0.000 0.750
4 Al 0.500 0.500 0.500
5 Fe 0.237 0.250 0.125
6 Fe 0.250 0.737 0.375
7 Fe 0.250 0.763 0.875
8 Fe 0.263 0.250 0.625
9 Fe 0.737 0.750 0.625
10 Fe 0.750 0.237 0.875
11 Fe 0.750 0.263 0.375
12 Fe 0.763 0.750 0.125
13 Ag 0.000 0.000 0.500
14 Ag 0.000 0.500 0.750
15 Ag 0.500 0.000 0.250
16 Ag 0.500 0.500 0.000

Properties
V, Å³ per atom: 15.226
Symmetry: I-42d, No. 122
Final energy, eV per cell: -86.5
Formation energy from the elements, kJ/mol of atoms: 45.58